First-principles (GGA+U) data for a relaxed TlCdCoF6 crystal, as listed in Alexandria via LeMat-Bulk.

Calculated values
For the total energy, the calculation gives -4.14 eV per atom.

Structure (CIF):
```
data_TlCdCoF6
_chemical_formula_sum 'Tl4 Cd4 Co4 F24'
_symmetry_space_group_name_H-M 'I m m a'
_symmetry_Int_Tables_number 74
_symmetry_space_group_name_Hall '-I 2b 2'
_cell_length_a 7.2897
_cell_length_b 7.5484
_cell_length_c 10.0191
_cell_angle_alpha 90.00
_cell_angle_beta 90.00
_cell_angle_gamma 90.00
loop_
_atom_site_label
_atom_site_fract_x
_atom_site_fract_y
_atom_site_fract_z
Tl1 0.0000 0.2500 0.1018
Cd1 0.0000 0.0000 0.5000
Co1 0.2500 0.2500 0.7500
F1 0.0000 0.2500 0.3890
F2 0.0000 0.2500 0.6962
F3 0.2232 0.0762 0.8795
```